No. 1
A relaxed LaSb2TeCl crystal. Source: Alexandria via LeMat-Bulk, functional GGA-PBE.

```
data_LaSb2TeCl
_chemical_formula_sum 'La1 Sb2 Te1 Cl1'
_cell_length_a 6.192
_cell_length_b 6.192
_cell_length_c 5.999
_cell_angle_alpha 90.00
_cell_angle_beta 90.00
_cell_angle_gamma 90.00
_symmetry_space_group_name_H-M 'P 1'
_symmetry_Int_Tables_number 1
loop_
_symmetry_equiv_pos_as_xyz
'x,y,z'
loop_
_atom_site_label
_atom_site_type_symbol
_atom_site_fract_x
_atom_site_fract_y
_atom_site_fract_z
La1 La 0.000 0.000 0.000
Sb1 Sb 0.000 0.500 0.000
Sb2 Sb 0.500 0.000 0.000
Te1 Te 0.000 0.000 0.500
Cl1 Cl 0.500 0.500 0.500
```

Results
- total energy (eV/atom) = -3.365
- energy relative to the lowest polymorph listed for this composition (eV per atom) = 0.384
- E_form (uncorrected) (meV per atom) = 267

---

No. 2
A relaxed La2ZnSbCl crystal. Source: Alexandria via LeMat-Bulk, functional GGA-PBE.

```
data_La2ZnSbCl
_chemical_formula_sum 'La2 Zn1 Sb1 Cl1'
_cell_length_a 5.759
_cell_length_b 5.759
_cell_length_c 4.722
_cell_angle_alpha 90.00
_cell_angle_beta 90.00
_cell_angle_gamma 90.00
_symmetry_space_group_name_H-M 'P 1'
_symmetry_Int_Tables_number 1
loop_
_symmetry_equiv_pos_as_xyz
'x,y,z'
loop_
_atom_site_label
_atom_site_type_symbol
_atom_site_fract_x
_atom_site_fract_y
_atom_site_fract_z
La1 La 0.000 0.500 0.000
La2 La 0.500 0.000 0.000
Zn1 Zn 0.000 0.000 0.000
Sb1 Sb 0.500 0.500 0.500
Cl1 Cl 0.000 0.000 0.500
```

Results
- total energy (eV/atom) = -3.851
- E_form (uncorrected) (meV per atom) = -432

---

No. 3
A relaxed LaScCl crystal. Source: Alexandria via LeMat-Bulk, functional GGA-PBE.

```
data_LaScCl
_chemical_formula_sum 'La1 Sc1 Cl1'
_cell_length_a 5.351
_cell_length_b 5.351
_cell_length_c 5.351
_cell_angle_alpha 60.00
_cell_angle_beta 60.00
_cell_angle_gamma 60.00
_symmetry_space_group_name_H-M 'P 1'
_symmetry_Int_Tables_number 1
loop_
_symmetry_equiv_pos_as_xyz
'x,y,z'
loop_
_atom_site_label
_atom_site_type_symbol
_atom_site_fract_x
_atom_site_fract_y
_atom_site_fract_z
La1 La 0.000 0.000 0.000
Sc1 Sc 0.750 0.750 0.750
Cl1 Cl 0.250 0.250 0.250
```

Results
- total energy (eV/atom) = -4.061
- energy relative to the lowest polymorph listed for this composition (eV per atom) = 1.164
- E_form (uncorrected) (meV per atom) = 307

---

No. 4
A relaxed La4ScCl crystal. Source: Alexandria via LeMat-Bulk, functional GGA-PBE.

```
data_La4ScCl
_chemical_formula_sum 'La4 Sc1 Cl1'
_cell_length_a 6.640
_cell_length_b 6.640
_cell_length_c 6.640
_cell_angle_alpha 60.00
_cell_angle_beta 60.00
_cell_angle_gamma 60.00
_symmetry_space_group_name_H-M 'P 1'
_symmetry_Int_Tables_number 1
loop_
_symmetry_equiv_pos_as_xyz
'x,y,z'
loop_
_atom_site_label
_atom_site_type_symbol
_atom_site_fract_x
_atom_site_fract_y
_atom_site_fract_z
La1 La 0.120 0.120 0.120
La2 La 0.120 0.120 0.639
La3 La 0.120 0.639 0.120
La4 La 0.639 0.120 0.120
Sc1 Sc 0.750 0.750 0.750
Cl1 Cl 0.500 0.500 0.500
```

Results
- total energy (eV/atom) = -4.407
- E_form (uncorrected) (meV per atom) = 241

---

No. 5
A relaxed LaSc2Cl crystal. Source: Alexandria via LeMat-Bulk, functional GGA-PBE.

```
data_LaSc2Cl
_chemical_formula_sum 'La1 Sc2 Cl1'
_cell_length_a 6.403
_cell_length_b 6.403
_cell_length_c 6.403
_cell_angle_alpha 149.71
_cell_angle_beta 125.72
_cell_angle_gamma 63.43
_symmetry_space_group_name_H-M 'P 1'
_symmetry_Int_Tables_number 1
loop_
_symmetry_equiv_pos_as_xyz
'x,y,z'
loop_
_atom_site_label
_atom_site_type_symbol
_atom_site_fract_x
_atom_site_fract_y
_atom_site_fract_z
La1 La 0.000 0.000 0.000
Sc1 Sc 0.432 0.432 0.000
Sc2 Sc 0.692 0.192 0.500
Cl1 Cl 0.241 0.741 0.500
```

Results
- total energy (eV/atom) = -5.183
- energy relative to the lowest polymorph listed for this composition (eV per atom) = 0.237
- E_form (uncorrected) (meV per atom) = -324

---

No. 6
A relaxed LaSc2Cl crystal. Source: Alexandria via LeMat-Bulk, functional GGA-PBE.

```
data_LaSc2Cl
_chemical_formula_sum 'La1 Sc2 Cl1'
_cell_length_a 6.311
_cell_length_b 6.311
_cell_length_c 5.617
_cell_angle_alpha 116.32
_cell_angle_beta 116.32
_cell_angle_gamma 30.43
_symmetry_space_group_name_H-M 'P 1'
_symmetry_Int_Tables_number 1
loop_
_symmetry_equiv_pos_as_xyz
'x,y,z'
loop_
_atom_site_label
_atom_site_type_symbol
_atom_site_fract_x
_atom_site_fract_y
_atom_site_fract_z
La1 La 0.000 0.000 0.000
Sc1 Sc 0.217 0.217 0.718
Sc2 Sc 0.783 0.783 0.282
Cl1 Cl 0.500 0.500 0.500
```

Results
- total energy (eV/atom) = -5.318
- energy relative to the lowest polymorph listed for this composition (eV per atom) = 0.102
- E_form (uncorrected) (meV per atom) = -458

---

No. 7
A relaxed LaScCl crystal. Source: Alexandria via LeMat-Bulk, functional GGA-PBE.

```
data_LaScCl
_chemical_formula_sum 'La1 Sc1 Cl1'
_cell_length_a 7.859
_cell_length_b 7.507
_cell_length_c 3.503
_cell_angle_alpha 82.50
_cell_angle_beta 71.27
_cell_angle_gamma 26.23
_symmetry_space_group_name_H-M 'P 1'
_symmetry_Int_Tables_number 1
loop_
_symmetry_equiv_pos_as_xyz
'x,y,z'
loop_
_atom_site_label
_atom_site_type_symbol
_atom_site_fract_x
_atom_site_fract_y
_atom_site_fract_z
La1 La 0.000 0.000 0.000
Sc1 Sc 0.686 0.686 0.314
Cl1 Cl 0.322 0.322 0.678
```

Results
- total energy (eV/atom) = -5.119
- energy relative to the lowest polymorph listed for this composition (eV per atom) = 0.106
- E_form (uncorrected) (meV per atom) = -750

---

No. 8
A relaxed LaScCl4 crystal. Source: Alexandria via LeMat-Bulk, functional GGA-PBE.

```
data_LaScCl4
_chemical_formula_sum 'La1 Sc1 Cl4'
_cell_length_a 5.935
_cell_length_b 5.935
_cell_length_c 5.935
_cell_angle_alpha 60.00
_cell_angle_beta 60.00
_cell_angle_gamma 60.00
_symmetry_space_group_name_H-M 'P 1'
_symmetry_Int_Tables_number 1
loop_
_symmetry_equiv_pos_as_xyz
'x,y,z'
loop_
_atom_site_label
_atom_site_type_symbol
_atom_site_fract_x
_atom_site_fract_y
_atom_site_fract_z
La1 La 0.000 0.000 0.000
Sc1 Sc 0.750 0.750 0.750
Cl1 Cl 0.375 0.375 0.375
Cl2 Cl 0.375 0.375 0.875
Cl3 Cl 0.375 0.875 0.375
Cl4 Cl 0.875 0.375 0.375
```

Results
- total energy (eV/atom) = -3.606
- E_form (uncorrected) (meV per atom) = -498

---

No. 9
A relaxed LaSc2Cl crystal. Source: Alexandria via LeMat-Bulk, functional GGA-PBE.

```
data_LaSc2Cl
_chemical_formula_sum 'La1 Sc2 Cl1'
_cell_length_a 5.825
_cell_length_b 5.825
_cell_length_c 5.964
_cell_angle_alpha 103.64
_cell_angle_beta 103.64
_cell_angle_gamma 33.07
_symmetry_space_group_name_H-M 'P 1'
_symmetry_Int_Tables_number 1
loop_
_symmetry_equiv_pos_as_xyz
'x,y,z'
loop_
_atom_site_label
_atom_site_type_symbol
_atom_site_fract_x
_atom_site_fract_y
_atom_site_fract_z
La1 La 0.000 0.000 0.000
Sc1 Sc 0.196 0.196 0.592
Sc2 Sc 0.452 0.452 0.497
Cl1 Cl 0.774 0.774 0.253
```

Results
- total energy (eV/atom) = -5.231
- energy relative to the lowest polymorph listed for this composition (eV per atom) = 0.189
- E_form (uncorrected) (meV per atom) = -372

---

No. 10
A relaxed LaSc2Cl crystal. Source: Alexandria via LeMat-Bulk, functional GGA-PBE.

```
data_LaSc2Cl
_chemical_formula_sum 'La2 Sc4 Cl2'
_cell_length_a 6.637
_cell_length_b 6.637
_cell_length_c 6.637
_cell_angle_alpha 101.22
_cell_angle_beta 101.22
_cell_angle_gamma 127.64
_symmetry_space_group_name_H-M 'P 1'
_symmetry_Int_Tables_number 1
loop_
_symmetry_equiv_pos_as_xyz
'x,y,z'
loop_
_atom_site_label
_atom_site_type_symbol
_atom_site_fract_x
_atom_site_fract_y
_atom_site_fract_z
La1 La 0.000 0.000 0.000
La2 La 0.750 0.250 0.500
Sc1 Sc 0.217 0.125 0.592
Sc2 Sc 0.375 0.783 0.908
Sc3 Sc 0.533 0.625 0.408
Sc4 Sc 0.875 0.467 0.092
Cl1 Cl 0.250 0.750 0.500
Cl2 Cl 0.500 0.500 0.000
```

Results
- total energy (eV/atom) = -5.276
- energy relative to the lowest polymorph listed for this composition (eV per atom) = 0.144
- E_form (uncorrected) (meV per atom) = -416

---

No. 11
A relaxed LaSc2Cl crystal. Source: Alexandria via LeMat-Bulk, functional GGA-PBE.

```
data_LaSc2Cl
_chemical_formula_sum 'La1 Sc2 Cl1'
_cell_length_a 5.273
_cell_length_b 5.273
_cell_length_c 5.273
_cell_angle_alpha 60.00
_cell_angle_beta 60.00
_cell_angle_gamma 60.00
_symmetry_space_group_name_H-M 'P 1'
_symmetry_Int_Tables_number 1
loop_
_symmetry_equiv_pos_as_xyz
'x,y,z'
loop_
_atom_site_label
_atom_site_type_symbol
_atom_site_fract_x
_atom_site_fract_y
_atom_site_fract_z
La1 La 0.000 0.000 0.000
Sc1 Sc 0.250 0.250 0.250
Sc2 Sc 0.750 0.750 0.750
Cl1 Cl 0.500 0.500 0.500
```

Results
- total energy (eV/atom) = -4.634
- energy relative to the lowest polymorph listed for this composition (eV per atom) = 0.786
- E_form (uncorrected) (meV per atom) = 226

---

No. 12
A relaxed LaScCl crystal. Source: Alexandria via LeMat-Bulk, functional GGA-PBE.

```
data_LaScCl
_chemical_formula_sum 'La1 Sc1 Cl1'
_cell_length_a 3.545
_cell_length_b 3.545
_cell_length_c 7.237
_cell_angle_alpha 90.00
_cell_angle_beta 90.00
_cell_angle_gamma 120.00
_symmetry_space_group_name_H-M 'P 1'
_symmetry_Int_Tables_number 1
loop_
_symmetry_equiv_pos_as_xyz
'x,y,z'
loop_
_atom_site_label
_atom_site_type_symbol
_atom_site_fract_x
_atom_site_fract_y
_atom_site_fract_z
La1 La 0.000 0.000 0.000
Sc1 Sc 0.667 0.333 0.379
Cl1 Cl 0.333 0.667 0.635
```

Results
- total energy (eV/atom) = -5.225
- energy relative to the lowest polymorph listed for this composition (eV per atom) = 0.000
- E_form (uncorrected) (meV per atom) = -856